Entry 1:
The following is a GGA-PBE calculation of an optimized crystal structure of Li2PrHoCd4, from Alexandria.

## Properties
As for the space group: R-3m. The formation energy from the elements is -0.263 eV per atom.

Cell: 8.8981 8.8981 8.8981 Å, 33.34 33.34 33.34°
Fractional coordinates of all 8 atoms:
Li (0.2482, 0.2482, 0.2482)
Li (0.7518, 0.7518, 0.7518)
Pr (0.0000, 0.0000, 0.0000)
Ho (0.5000, 0.5000, 0.5000)
Cd (0.1276, 0.1276, 0.1276)
Cd (0.3786, 0.3786, 0.3786)
Cd (0.6214, 0.6214, 0.6214)
Cd (0.8724, 0.8724, 0.8724)

Entry 2:
The following is a GGA-PBE calculation of an optimized crystal structure of PmNd6Tl, from Alexandria.

## Properties
As for the space group: P-1. The formation energy from the elements is 0.388 eV per atom. The excess energy over the best structure of this formula in the dataset comes out at 0.472 eV per atom.

Cell: 6.5625 6.5819 9.2936 Å, 110.40 90.45 119.42°
Fractional coordinates of all 8 atoms:
Pm (0.0000, 0.0000, 0.0000)
Nd (0.0780, 0.5329, 0.2093)
Nd (0.3111, 0.2443, 0.7872)
Nd (0.4675, 0.1487, 0.2111)
Nd (0.5325, 0.8513, 0.7889)
Nd (0.6889, 0.7557, 0.2128)
Nd (0.9220, 0.4671, 0.7907)
Tl (0.5000, 0.0000, 0.5000)

Entry 3:
The following is a GGA-PBE calculation of an optimized crystal structure of TaMn2Ni, from Alexandria.

## Properties
As for the space group: F-43m. The formation energy from the elements is 0.019 eV per atom. The excess energy over the best structure of this formula in the dataset comes out at 0.070 eV per atom.

Cell: 4.2144 4.2144 4.2144 Å, 60.00 60.00 60.00°
Fractional coordinates of all 4 atoms:
Ta (0.0000, 0.0000, 0.0000)
Mn (0.2500, 0.2500, 0.2500)
Mn (0.5000, 0.5000, 0.5000)
Ni (0.7500, 0.7500, 0.7500)

Entry 4:
The following is a GGA-PBE calculation of an optimized crystal structure of ZnCd2IrPb, from Alexandria.

## Properties
As for the space group: P4/mmm. The formation energy from the elements is 0.272 eV per atom.

Cell: 5.2053 5.2053 4.8247 Å, 90.00 90.00 90.00°
Fractional coordinates of all 5 atoms:
Zn (0.0000, 0.0000, 0.0000)
Cd (0.0000, 0.5000, 0.5000)
Cd (0.5000, 0.0000, 0.5000)
Ir (0.0000, 0.0000, 0.5000)
Pb (0.5000, 0.5000, 0.0000)

Entry 5:
The following is a GGA-PBE calculation of an optimized crystal structure of SrAgSnW2, from Alexandria.

## Properties
As for the space group: P4/mmm. The formation energy from the elements is 1.985 eV per atom.

Cell: 5.0546 5.0546 5.8551 Å, 90.00 90.00 90.00°
Fractional coordinates of all 5 atoms:
Sr (0.0000, 0.0000, 0.0000)
Ag (0.5000, 0.5000, 0.0000)
Sn (0.0000, 0.0000, 0.5000)
W (0.0000, 0.5000, 0.5000)
W (0.5000, 0.0000, 0.5000)

Entry 6:
The following is a GGA-PBE calculation of an optimized crystal structure of MgAlTe2I, from Alexandria.

## Properties
As for the space group: P4/mmm. For the formation energy without anion corrections, the calculation gives 0.02 eV/atom. The excess energy over the best structure of this formula in the dataset comes out at 0.000 eV per atom.

Cell: 5.4251 5.4251 5.4722 Å, 90.00 90.00 90.00°
Fractional coordinates of all 5 atoms:
Mg (0.0000, 0.0000, 0.0000)
Al (0.5000, 0.5000, 0.5000)
Te (0.0000, 0.5000, 0.5000)
Te (0.5000, 0.0000, 0.5000)
I (0.5000, 0.5000, 0.0000)

Entry 7:
The following is a GGA-PBE calculation of an optimized crystal structure of Nb2V5Ga2Mo, from Alexandria.

## Properties
As for the space group: P4/mbm. The formation energy from the elements is 0.023 eV per atom.

Cell: 9.3864 9.3864 3.4981 Å, 90.00 90.00 90.00°
Fractional coordinates of all 20 atoms:
Nb (0.1665, 0.3335, 0.0000)
Nb (0.3335, 0.8335, 0.0000)
Nb (0.6665, 0.1665, 0.0000)
Nb (0.8335, 0.6665, 0.0000)
V (0.0000, 0.5000, 0.5000)
V (0.0684, 0.8085, 0.5000)
V (0.1915, 0.0684, 0.5000)
V (0.3085, 0.5684, 0.5000)
V (0.4316, 0.3085, 0.5000)
V (0.5000, 0.0000, 0.5000)
V (0.5684, 0.6915, 0.5000)
V (0.6915, 0.4316, 0.5000)
V (0.8085, 0.9316, 0.5000)
V (0.9316, 0.1915, 0.5000)
Ga (0.1312, 0.6312, 0.0000)
Ga (0.3688, 0.1312, 0.0000)
Ga (0.6312, 0.8688, 0.0000)
Ga (0.8688, 0.3688, 0.0000)
Mo (0.0000, 0.0000, 0.0000)
Mo (0.5000, 0.5000, 0.0000)

Entry 8:
The following is a GGA-PBE calculation of an optimized crystal structure of Pa4ReSi3, from Alexandria.

## Properties
As for the space group: Pmm2. For the formation energy without anion corrections, the calculation gives -0.40 eV/atom.

Cell: 4.0294 4.0762 10.4297 Å, 90.00 90.00 90.00°
Fractional coordinates of all 8 atoms:
Pa (0.0000, 0.0000, 0.0000)
Pa (0.0000, 0.5000, 0.2796)
Pa (0.5000, 0.0000, 0.4999)
Pa (0.5000, 0.5000, 0.7814)
Re (0.0000, 0.0000, 0.7187)
Si (0.0000, 0.5000, 0.5624)
Si (0.5000, 0.0000, 0.2208)
Si (0.5000, 0.5000, 0.0617)

Entry 9:
The following is a GGA-PBE calculation of an optimized crystal structure of ScZnRh2, from Alexandria.

## Properties
As for the space group: I-42d. The formation energy from the elements is -0.219 eV per atom.

Cell: 8.9850 8.9850 8.9850 Å, 154.15 154.15 36.88°
Fractional coordinates of all 8 atoms:
Sc (0.0000, 0.0000, 0.0000)
Sc (0.7500, 0.2500, 0.5000)
Zn (0.2500, 0.7500, 0.5000)
Zn (0.5000, 0.5000, 0.0000)
Rh (0.1571, 0.6250, 0.0321)
Rh (0.3750, 0.4071, 0.5321)
Rh (0.5929, 0.1250, 0.9679)
Rh (0.8750, 0.8429, 0.4679)

Entry 10:
The following is a GGA-PBE calculation of an optimized crystal structure of LaHfZr2N4, from Alexandria.

## Properties
As for the space group: Imma. For the formation energy without anion corrections, the calculation gives -1.53 eV/atom.

Cell: 6.7286 6.7286 6.7286 Å, 120.59 119.56 89.87°
Fractional coordinates of all 16 atoms:
La (0.5000, 0.0000, 0.0000)
La (0.5000, 0.5000, 0.5000)
Hf (0.0000, 0.0000, 0.0000)
Hf (0.5000, 0.0000, 0.5000)
Zr (0.0000, 0.0000, 0.5000)
Zr (0.0000, 0.5000, 0.0000)
Zr (0.0000, 0.5000, 0.5000)
Zr (0.5000, 0.5000, 0.0000)
N (0.2183, 0.2438, 0.9744)
N (0.2306, 0.7562, 0.4744)
N (0.2384, 0.2283, 0.4899)
N (0.2384, 0.7485, 0.0101)
N (0.7616, 0.2515, 0.9899)
N (0.7616, 0.7717, 0.5101)
N (0.7694, 0.2438, 0.5256)
N (0.7817, 0.7562, 0.0256)

Entry 11:
The following is a GGA-PBE calculation of an optimized crystal structure of Pr2Nd4Bi3N2, from Alexandria.

## Properties
As for the space group: I4/mmm. For the formation energy without anion corrections, the calculation gives -1.01 eV/atom.

Cell: 13.8219 13.8219 13.8219 Å, 159.72 159.72 28.83°
Fractional coordinates of all 11 atoms:
Pr (0.1917, 0.1917, 0.0000)
Pr (0.8083, 0.8083, 0.0000)
Nd (0.0835, 0.5835, 0.5000)
Nd (0.4165, 0.9165, 0.5000)
Nd (0.5835, 0.0835, 0.5000)
Nd (0.9165, 0.4165, 0.5000)
Bi (0.3208, 0.3208, 0.0000)
Bi (0.5000, 0.5000, 0.0000)
Bi (0.6792, 0.6792, 0.0000)
N (0.1041, 0.1041, 0.0000)
N (0.8959, 0.8959, 0.0000)

Entry 12:
The following is a GGA-PBE calculation of an optimized crystal structure of HoPaHg2, from Alexandria.

## Properties
As for the space group: Fm-3m. The formation energy from the elements is -0.053 eV per atom. The excess energy over the best structure of this formula in the dataset comes out at 0.101 eV per atom.

Cell: 5.2694 5.2694 5.2694 Å, 60.00 60.00 60.00°
Fractional coordinates of all 4 atoms:
Ho (0.0000, 0.0000, 0.0000)
Pa (0.5000, 0.5000, 0.5000)
Hg (0.2500, 0.2500, 0.2500)
Hg (0.7500, 0.7500, 0.7500)

Density of states at the Fermi level, respectively: 6.0 12.5 6.9 3.3 5.4 4.8 10.6 13.1 2.7 2.3 4.8 8.5 states/eV/f.u..
Spin magnetization, respectively: 0.0 0.0 3.9 0.0 2.2 0.0 0.0 0.0 0.0 0.0 0.0 2.3 μB per cell.